PBE-GGA ScTaTcRu, optimized geometry; total magnetic moment = 0.00 μB per formula unit; volume = 66 Å³/cell; calculated formation energy = -0.489 eV per atom
1.0
3.191 0.000 0.000
0.000 3.191 0.000
0.000 0.000 6.456
Sc Ta Tc Ru
1 1 1 1
direct
0.000 0.000 0.000
0.000 0.000 0.498
0.500 0.500 0.263
0.500 0.500 0.739